Rb3Na2MnF9 | Alexandria via LeMat-Bulk | PBE+U | optimized geometry; calculated total energy = -4.61 eV per atom
1.0
6.205 0.000 0.000
-3.103 5.374 0.000
0.000 0.000 7.600
Rb Na Mn F
3 2 1 9
Cartesian
0.000 0.000 0.000
0.000 3.583 5.482
3.103 1.791 2.118
0.000 3.583 1.261
3.103 1.791 6.339
0.000 0.000 3.800
-1.551 2.687 0.000
0.000 1.521 2.738
-1.785 4.613 2.738
1.318 0.761 4.862
3.103 0.000 0.000
1.551 2.687 0.000
1.785 4.613 2.738
4.888 0.761 4.862
3.103 3.852 4.862